First-principles (PBE) data for a geometry-optimized Ho2PaN4 structure, as listed in Alexandria.

The structure in CIF format:
```
data_Ho2PaN4
_chemical_formula_sum 'Ho4 Pa2 N8'
_symmetry_space_group_name_H-M 'P 1'
_symmetry_Int_Tables_number 1
_cell_length_a 5.860
_cell_length_b 9.749
_cell_length_c 3.569
_cell_angle_alpha 90.00
_cell_angle_beta 90.00
_cell_angle_gamma 90.00
loop_
_symmetry_equiv_pos_as_xyz
'x,y,z'
loop_
_atom_site_label
_atom_site_fract_x
_atom_site_fract_y
_atom_site_fract_z
Ho1 0.060 0.175 0.000
Ho2 0.440 0.675 0.000
Ho3 0.560 0.325 0.000
Ho4 0.940 0.825 0.000
Pa1 0.000 0.500 0.500
Pa2 0.500 0.000 0.500
N1 0.157 0.703 0.500
N2 0.240 0.460 0.000
N3 0.260 0.960 0.000
N4 0.343 0.203 0.500
N5 0.657 0.797 0.500
N6 0.740 0.040 0.000
N7 0.760 0.540 0.000
N8 0.843 0.297 0.500
```

Output
DOS at the Fermi energy in states/eV/atom: 0.348
Calculated volume in Å³/cell: 203.9
Energy relative to the elements, uncorrected in eV/atom: -1.51
Total energy in eV/atom: -8.927